Entry 1:
# Ca5ReH2N4

A geometry-optimized Ca5ReH2N4 structure (GGA-PBE, Alexandria).

Its space group is No. 38.

extended XYZ file:
```
12
Lattice="6.770 0.000 0.000 0.000 4.783 2.964 0.000 -4.783 2.964" Properties=species:S:1:pos:R:3 pbc="T T T"
Ca 0.000 0.000 0.000
Ca 1.795 -1.660 2.887
Ca 1.795 1.660 2.887
Ca 4.975 -1.660 2.887
Ca 4.975 1.660 2.887
Re 3.385 0.000 5.760
H 0.000 -2.661 1.677
H 0.000 2.661 1.677
N 2.039 0.000 1.258
N 3.385 -1.562 4.767
N 3.385 1.562 4.767
N 4.731 0.000 1.258
```

***

Entry 2:
# Ca2HRhN

A geometry-optimized Ca2HRhN structure (GGA-PBE, Alexandria).

Its space group is No. 123.

extended XYZ file:
```
5
Lattice="4.694 0.000 0.000 0.000 4.694 0.000 0.000 0.000 3.450" Properties=species:S:1:pos:R:3 pbc="T T T"
Ca 0.000 2.347 0.000
Ca 2.347 0.000 0.000
H 0.000 0.000 0.000
Rh 0.000 0.000 1.725
N 2.347 2.347 1.725
```

***

Entry 3:
# CaHS2N

A geometry-optimized CaHS2N structure (GGA-PBE, Alexandria).

The calculation puts the energy above the most stable polymorph in this dataset at 0.857 eV/atom. Its space group is No. 123.

extended XYZ file:
```
5
Lattice="5.561 0.000 0.000 0.000 5.561 0.000 0.000 0.000 4.904" Properties=species:S:1:pos:R:3 pbc="T T T"
Ca 0.000 0.000 0.000
H 2.780 2.780 2.452
S 0.000 2.780 0.000
S 2.780 0.000 0.000
N 0.000 0.000 2.452
```

***

Entry 4:
# CaH2SN

A geometry-optimized CaH2SN structure (GGA-PBE, Alexandria).

Its space group is No. 99.

extended XYZ file:
```
5
Lattice="2.934 0.000 0.000 0.000 2.934 0.000 0.000 0.000 7.525" Properties=species:S:1:pos:R:3 pbc="T T T"
Ca 0.000 0.000 0.000
H 0.000 1.467 5.053
H 1.467 0.000 5.053
S 1.467 1.467 1.739
N 0.000 0.000 5.249
```

***

Number 1: magnetic moment 0.081 μB per atom, E -5.822 eV/atom. Number 2: magnetic moment 0.002 μB per atom, E -4.684 eV/atom. Number 3: magnetic moment 1.200 μB per atom, E -3.112 eV/atom. Number 4: magnetic moment 0.000 μB per atom, E -4.013 eV/atom.